No. 1
DFT (PBE) results for a geometry-optimized PrEuGe2 structure.

a = 3.4921 Å, b = 3.4921 Å, c = 8.3242 Å
α = 90.00°, β = 90.00°, γ = 90.00°
Positions (direct):
1 Pr 0.0000 0.0000 0.0000
2 Eu 0.0000 0.0000 0.5000
3 Ge 0.5000 0.5000 0.2496
4 Ge 0.5000 0.5000 0.7504

=====

No. 2
DFT (PBE) results for a geometry-optimized PrEuGe4 structure.

a = 5.7617 Å, b = 5.7617 Å, c = 5.7617 Å
α = 60.00°, β = 60.00°, γ = 60.00°
Positions (direct):
1 Pr 0.0000 0.0000 0.0000
2 Eu 0.7500 0.7500 0.7500
3 Ge 0.3742 0.3742 0.3742
4 Ge 0.3742 0.3742 0.8775
5 Ge 0.3742 0.8775 0.3742
6 Ge 0.8775 0.3742 0.3742

=====

No. 3
DFT (PBE) results for a geometry-optimized PrEuGe2 structure.

a = 5.2541 Å, b = 5.2541 Å, c = 5.2541 Å
α = 60.00°, β = 60.00°, γ = 60.00°
Positions (direct):
1 Pr 0.0000 0.0000 0.0000
2 Eu 0.5000 0.5000 0.5000
3 Ge 0.2500 0.2500 0.2500
4 Ge 0.7500 0.7500 0.7500

=====

No. 4
DFT (PBE) results for a geometry-optimized PrEuGePt structure.

a = 5.1925 Å, b = 5.1925 Å, c = 5.1925 Å
α = 60.00°, β = 60.00°, γ = 60.00°
Positions (direct):
1 Pr 0.0000 0.0000 0.0000
2 Eu 0.5000 0.5000 0.5000
3 Ge 0.2500 0.2500 0.2500
4 Pt 0.7500 0.7500 0.7500

=====

No. 5
DFT (PBE) results for a geometry-optimized PrEuTlGe structure.

a = 5.4282 Å, b = 5.4282 Å, c = 5.4282 Å
α = 60.00°, β = 60.00°, γ = 60.00°
Positions (direct):
1 Pr 0.0000 0.0000 0.0000
2 Eu 0.5000 0.5000 0.5000
3 Tl 0.2500 0.2500 0.2500
4 Ge 0.7500 0.7500 0.7500

=====

No. 6
DFT (PBE) results for a geometry-optimized EuGe2Pt2 structure.

a = 4.4040 Å, b = 4.3984 Å, c = 10.1498 Å
α = 90.00°, β = 90.30°, γ = 90.00°
Positions (direct):
1 Eu 0.2478 0.2500 0.2540
2 Eu 0.7522 0.7500 0.7460
3 Ge 0.2495 0.7500 0.4999
4 Ge 0.2591 0.2500 0.8721
5 Ge 0.7409 0.7500 0.1279
6 Ge 0.7505 0.2500 0.5001
7 Pt 0.2389 0.7500 0.9999
8 Pt 0.2520 0.2500 0.6263
9 Pt 0.7480 0.7500 0.3737
10 Pt 0.7611 0.2500 0.0001

=====

No. 7
DFT (PBE) results for a geometry-optimized EuGePt structure.

a = 4.3519 Å, b = 4.3519 Å, c = 4.1303 Å
α = 90.00°, β = 90.00°, γ = 120.00°
Positions (direct):
1 Eu 0.0000 0.0000 0.0000
2 Ge 0.6667 0.3333 0.5000
3 Pt 0.3333 0.6667 0.5000

=====

No. 8
DFT (PBE) results for a geometry-optimized EuGePt4 structure.

a = 5.4148 Å, b = 5.4148 Å, c = 5.4148 Å
α = 60.00°, β = 60.00°, γ = 60.00°
Positions (direct):
1 Eu 0.0000 0.0000 0.0000
2 Ge 0.2500 0.2500 0.2500
3 Pt 0.1265 0.6245 0.6245
4 Pt 0.6245 0.1265 0.6245
5 Pt 0.6245 0.6245 0.1265
6 Pt 0.6245 0.6245 0.6245

=====

No. 9
DFT (PBE) results for a geometry-optimized EuGePt structure.

a = 6.5806 Å, b = 6.5806 Å, c = 6.5806 Å
α = 90.00°, β = 90.00°, γ = 90.00°
Positions (direct):
1 Eu 0.1254 0.1254 0.1254
2 Eu 0.3746 0.8746 0.6254
3 Eu 0.6254 0.3746 0.8746
4 Eu 0.8746 0.6254 0.3746
5 Ge 0.1745 0.3255 0.6745
6 Ge 0.3255 0.6745 0.1745
7 Ge 0.6745 0.1745 0.3255
8 Ge 0.8255 0.8255 0.8255
9 Pt 0.0765 0.5765 0.9235
10 Pt 0.4235 0.4235 0.4235
11 Pt 0.5765 0.9235 0.0765
12 Pt 0.9235 0.0765 0.5765

=====

No. 10
DFT (PBE) results for a geometry-optimized EuGe2Pt2 structure.

a = 9.8670 Å, b = 4.4829 Å, c = 8.9095 Å
α = 90.00°, β = 91.28°, γ = 90.00°
Positions (direct):
1 Eu 0.2446 0.2422 0.1298
2 Eu 0.2446 0.2578 0.6298
3 Eu 0.7554 0.7422 0.3702
4 Eu 0.7554 0.7578 0.8702
5 Ge 0.0003 0.2368 0.3741
6 Ge 0.0003 0.2632 0.8741
7 Ge 0.9997 0.7368 0.1259
8 Ge 0.9997 0.7632 0.6259
9 Ge 0.3816 0.6859 0.3923
10 Ge 0.3816 0.8141 0.8923
11 Ge 0.6184 0.1859 0.1077
12 Ge 0.6184 0.3141 0.6077
13 Pt 0.1264 0.7376 0.3790
14 Pt 0.1264 0.7624 0.8790
15 Pt 0.5004 0.1752 0.3590
16 Pt 0.5004 0.3248 0.8590
17 Pt 0.4996 0.6752 0.1410
18 Pt 0.4996 0.8248 0.6410
19 Pt 0.8736 0.2376 0.1210
20 Pt 0.8736 0.2624 0.6210

=====

no.,total moment (μB per formula unit),formation energy from the elements (meV per atom),calculated total energy (eV/cell)
1,6.9,-586,-26.63
2,7.4,-406,-35.96
3,7.0,-549,-26.48
4,6.8,-754,-28.73
5,7.2,-452,-23.85
6,7.0,-850,-71.68
7,6.9,-916,-23.68
8,6.8,-535,-42.27
9,6.9,-922,-94.80
10,6.9,-858,-143.53